Entry 1:
Nd6Pb2C | GGA-PBE | relaxed

a b c (Å): 7.2020 7.2020 10.2136
angles (deg): 90.00 90.00 90.00
Space group I4/mmm (No. 139)
Asymmetric unit:
Nd1 0.0000 0.0000 0.2448 x4
Nd2 0.2454 0.2454 0.0000 x8
Pb1 0.0000 0.5000 0.2500 x4
C1 0.0000 0.0000 0.0000 x2

Values from the calculation:
uncorrected energy: -96.952 eV for the cell shown
crystal system: tetragonal
energy relative to the lowest polymorph listed for this composition: 0.000 eV/atom
Fermi-level density of states: 7.96 states/eV/f.u.
energy relative to the elements: -358.7 meV/atom

Entry 2:
CeFe4Mo | GGA-PBE | relaxed

a b c (Å): 6.9656 6.9656 6.9656
angles (deg): 90.00 90.00 90.00
Space group F-43m (No. 216)
Asymmetric unit:
Ce1 0.0000 0.0000 0.0000 x4
Fe1 0.1249 0.1249 0.6249 x16
Mo1 0.2500 0.2500 0.2500 x4

Values from the calculation:
uncorrected energy: -198.393 eV for the cell shown
crystal system: cubic
Fermi-level density of states: 7.80 states/eV/f.u.
energy relative to the elements: 169.6 meV/atom

| no. | total moment (Bohr magnetons per cell) |
| --- | --- |
| 1 | 0.00 |
| 2 | 18.44 |